Record 1
An optimized crystal structure of Dy3Co3Bi. Source: Alexandria, functional PBE-GGA.

The space group is P6_3/m (No. 176) and the conventional cell measures 9.2190, 9.2190 and 4.2092 Å, with angles of 90.00, 90.00 and 120.00 degrees. Symmetry generates all atoms from Dy at (0.0749, 0.6924, 0.2500), Co at (0.0200, 0.8637, 0.7500) and Bi at (0.3333, 0.6667, 0.7500).

The density of states at the Fermi level comes out at 8.4 states/eV/f.u. The total energy is -82.26 eV per cell. Its formation energy is -0.3039 eV/atom. The value obtained for the spin magnetization is 2.48 μB per formula unit. As for the density: 9.36 g cm⁻³.



Record 2
An optimized crystal structure of BaMnCu4. Source: Alexandria, functional PBE-GGA.

The space group is F-43m (No. 216) and the conventional cell measures 7.485, 7.485 and 7.485 Å, with angles of 90.00, 90.00 and 90.00 degrees. Symmetry generates all atoms from Ba at (0.000, 0.000, 0.000), Mn at (0.250, 0.250, 0.250) and Cu at (0.122, 0.122, 0.622).

The density of states at the Fermi level comes out at 4.8 states/eV/f.u. The total energy is -102.79 eV per cell. Its formation energy is 0.2964 eV/atom. The value obtained for the spin magnetization is 4.18 μB per formula unit. As for the density: 7.07 g cm⁻³.



Record 3
An optimized crystal structure of GdMg2Ag. Source: Alexandria, functional PBE-GGA.

The space group is P4/mmm (No. 123) and the conventional cell measures 3.419, 3.419 and 7.965 Å, with angles of 90.00, 90.00 and 90.00 degrees. Symmetry generates all atoms from Gd at (0.000, 0.000, 0.000), Mg at (0.500, 0.500, 0.299) and Ag at (0.000, 0.000, 0.500).

The density of states at the Fermi level comes out at 3.3 states/eV/f.u. The total energy is -20.71 eV per cell. Its formation energy is -0.1463 eV/atom. The value obtained for the spin magnetization is 7.80 μB per formula unit. As for the density: 5.60 g cm⁻³.



Record 4
An optimized crystal structure of ZnBr. Source: Alexandria, functional PBE-GGA.

The space group is Imma (No. 74) and the conventional cell measures 3.521, 8.003 and 9.189 Å, with angles of 90.00, 90.00 and 90.00 degrees. Symmetry generates all atoms from Zn at (0.000, 0.250, 0.140) and Br at (0.000, 0.250, 0.556).

The density of states at the Fermi level comes out at 0.5 states/eV/f.u. The total energy is -14.46 eV per cell. The value obtained for the spin magnetization is 0.00 μB per formula unit. As for the density: 3.73 g cm⁻³. Its uncorrected formation energy is -32.2 kJ per mole of atoms.



Record 5
An optimized crystal structure of NaZr2Te4. Source: Alexandria, functional PBE-GGA.

The space group is P2/m (No. 10) and the conventional cell measures 6.949, 4.040 and 7.999 Å, with angles of 90.00, 90.15 and 90.00 degrees. Symmetry generates all atoms from Na at (0.000, 0.000, 0.000), Zr at (0.000, 0.000, 0.500), Zr at (0.500, 0.500, 0.500), Te at (0.169, 0.500, 0.725) and Te at (0.336, 0.000, 0.277).

The density of states at the Fermi level comes out at 3.2 states/eV/f.u. The total energy is -37.49 eV per cell. Its energy above the lowest structure with this stoichiometry is 0 meV per atom. The value obtained for the spin magnetization is 0.00 μB per formula unit. As for the density: 5.29 g cm⁻³. Its uncorrected formation energy is -89.7 kJ per mole of atoms.



Record 6
An optimized crystal structure of RbAc4Sn3O12. Source: Alexandria, functional PBE-GGA.

The space group is Im-3 (No. 204) and the conventional cell measures 9.025, 9.025 and 9.025 Å, with angles of 90.00, 90.00 and 90.00 degrees. Symmetry generates all atoms from Rb at (0.000, 0.000, 0.000), Ac at (0.250, 0.250, 0.250), Sn at (0.000, 0.000, 0.500) and O at (0.000, 0.335, 0.159).

The density of states at the Fermi level comes out at 3.1 states/eV/f.u. The total energy is -269.23 eV per cell. The value obtained for the spin magnetization is 0.00 μB per formula unit. As for the density: 6.96 g cm⁻³. Its uncorrected formation energy is -220.5 kJ per mole of atoms.